The following is a DFT calculation (PBE-GGA) of a relaxed Pm6Cu5Pd crystal.

Unit cell a=5.0577 b=7.1385 c=7.9947 alpha=90.00 beta=108.28 gamma=90.00
With the nearest neighbours (Å) after each atom.
Element x y z (fractional)
Pm (0.0000, 0.2494, 0.0000)  6 Cu 3.08-3.16, 2 Pd 3.10
Pm (0.0000, 0.7506, 0.0000)  6 Cu 3.08-3.16, 2 Pd 3.10
Pm (0.3329, 0.2490, 0.6668)  7 Cu 3.04-3.11, 1 Pd 3.10
Pm (0.3329, 0.7510, 0.6668)  7 Cu 3.04-3.11, 1 Pd 3.10
Pm (0.6671, 0.2490, 0.3332)  7 Cu 3.04-3.11, 1 Pd 3.10
Pm (0.6671, 0.7510, 0.3332)  7 Cu 3.04-3.11, 1 Pd 3.10
Cu (0.1662, 0.0000, 0.3306)  8 Pm 3.08-3.11
Cu (0.1739, 0.5000, 0.3437)  8 Pm 3.04-3.16
Cu (0.5000, 0.0000, 0.0000)  8 Pm 3.09
Cu (0.8261, 0.5000, 0.6563)  8 Pm 3.04-3.16
Cu (0.8338, 0.0000, 0.6694)  8 Pm 3.08-3.11
Pd (0.5000, 0.5000, 0.0000)  8 Pm 3.10

***

The following is a DFT calculation (PBE-GGA) of a relaxed PmCu2Pd crystal.

Unit cell a=6.5830 b=6.5830 c=6.5830 alpha=90.00 beta=90.00 gamma=90.00
With the nearest neighbours (Å) after each atom.
Element x y z (fractional)
Pm (0.0000, 0.0000, 0.0000)  8 Cu 2.85
Pm (0.0000, 0.5000, 0.5000)  8 Cu 2.85
Pm (0.5000, 0.0000, 0.5000)  8 Cu 2.85
Pm (0.5000, 0.5000, 0.0000)  8 Cu 2.85
Cu (0.2500, 0.2500, 0.2500)  4 Pm 2.85, 4 Pd 2.85
Cu (0.2500, 0.2500, 0.7500)  4 Pm 2.85, 4 Pd 2.85
Cu (0.2500, 0.7500, 0.2500)  4 Pm 2.85, 4 Pd 2.85
Cu (0.2500, 0.7500, 0.7500)  4 Pm 2.85, 4 Pd 2.85
Cu (0.7500, 0.2500, 0.2500)  4 Pm 2.85, 4 Pd 2.85
Cu (0.7500, 0.2500, 0.7500)  4 Pm 2.85, 4 Pd 2.85
Cu (0.7500, 0.7500, 0.2500)  4 Pm 2.85, 4 Pd 2.85
Cu (0.7500, 0.7500, 0.7500)  4 Pm 2.85, 4 Pd 2.85
Pd (0.0000, 0.0000, 0.5000)  8 Cu 2.85
Pd (0.0000, 0.5000, 0.0000)  8 Cu 2.85
Pd (0.5000, 0.0000, 0.0000)  8 Cu 2.85
Pd (0.5000, 0.5000, 0.5000)  8 Cu 2.85

Computed properties:
The value obtained for the energy above the most stable polymorph in this dataset is 153 meV/atom.

***

The following is a DFT calculation (PBE-GGA) of a relaxed PmCu2Pd crystal.

Unit cell a=4.3480 b=4.3480 c=13.7712 alpha=90.00 beta=90.00 gamma=120.00
With the nearest neighbours (Å) after each atom.
Element x y z (fractional)
Pm (0.0000, 0.0000, 0.0000)  8 Cu 2.87-3.05
Pm (0.3333, 0.6667, 0.6667)  8 Cu 2.87-3.05
Pm (0.6667, 0.3333, 0.3333)  8 Cu 2.87-3.05
Cu (0.0000, 0.0000, 0.2081)  3 Pd 2.57, 3 Cu 2.76, 1 Pm 2.87
Cu (0.0000, 0.0000, 0.7919)  3 Pd 2.57, 3 Cu 2.76, 1 Pm 2.87
Cu (0.3333, 0.6667, 0.4586)  3 Pd 2.57, 3 Cu 2.76, 1 Pm 2.87
Cu (0.3333, 0.6667, 0.8748)  3 Pd 2.57, 3 Cu 2.76, 1 Pm 2.87
Cu (0.6667, 0.3333, 0.1252)  3 Pd 2.57, 3 Cu 2.76, 1 Pm 2.87
Cu (0.6667, 0.3333, 0.5414)  3 Pd 2.57, 3 Cu 2.76, 1 Pm 2.87
Pd (0.0000, 0.0000, 0.5000)  6 Cu 2.57
Pd (0.3333, 0.6667, 0.1667)  6 Cu 2.57
Pd (0.6667, 0.3333, 0.8333)  6 Cu 2.57

Computed properties:
The value obtained for the energy above the most stable polymorph in this dataset is 85 meV/atom.

***

The following is a DFT calculation (PBE-GGA) of a relaxed Pm3CuPd crystal.

Unit cell a=6.2638 b=6.2638 c=7.9739 alpha=108.41 beta=108.41 gamma=65.80
With the nearest neighbours (Å) after each atom.
Element x y z (fractional)
Pm (0.0035, 0.0035, 0.2443)  2 Pd 2.87, 2 Cu 2.89
Pm (0.3038, 0.3038, 0.6524)  2 Cu 3.04, 2 Pd 3.10
Pm (0.3110, 0.3110, 0.1545)  2 Cu 2.98, 2 Pd 3.06
Pm (0.6890, 0.6890, 0.8455)  2 Cu 2.98, 2 Pd 3.06
Pm (0.6962, 0.6962, 0.3476)  2 Cu 3.04, 2 Pd 3.10
Pm (0.9965, 0.9965, 0.7557)  2 Pd 2.87, 2 Cu 2.89
Cu (0.3145, 0.6855, 0.0000)  1 Cu 2.52
Cu (0.6855, 0.3145, 0.0000)  1 Cu 2.52
Pd (0.2945, 0.7055, 0.5000)  1 Pd 2.80, 6 Pm 2.87-3.10
Pd (0.7055, 0.2945, 0.5000)  1 Pd 2.80, 6 Pm 2.87-3.10

***

The following is a DFT calculation (PBE-GGA) of a relaxed Pm4Cu5Pd3 crystal.

Unit cell a=7.3918 b=7.3918 c=9.6435 alpha=118.07 beta=118.07 gamma=35.55
With the nearest neighbours (Å) after each atom.
Element x y z (fractional)
Pm (0.0447, 0.0447, 0.3248)  3 Pd 2.87-3.04, 3 Cu 2.90-3.14
Pm (0.2506, 0.2506, 0.8008)  1 Pd 2.85, 4 Cu 3.06-3.14
Pm (0.7494, 0.7494, 0.1992)  1 Pd 2.85, 4 Cu 3.06-3.14
Pm (0.9553, 0.9553, 0.6752)  3 Pd 2.87-3.04, 3 Cu 2.90-3.14
Cu (0.2816, 0.2816, 0.4995)  3 Cu 2.35-2.43
Cu (0.4063, 0.4063, 0.4046)  2 Cu 2.35, 1 Pd 2.46
Cu (0.5000, 0.5000, 0.0000)  4 Pd 2.26-2.51
Cu (0.5937, 0.5937, 0.5954)  2 Cu 2.35, 1 Pd 2.46
Cu (0.7184, 0.7184, 0.5005)  3 Cu 2.35-2.43
Pd (0.0000, 0.0000, 0.0000)  2 Cu 2.26
Pd (0.3888, 0.3888, 0.1381)  2 Cu 2.46-2.51
Pd (0.6112, 0.6112, 0.8619)  2 Cu 2.46-2.51

***

The following is a DFT calculation (PBE-GGA) of a relaxed Pm3Cu4Pd2 crystal.

Unit cell a=5.7520 b=5.7520 c=8.5130 alpha=108.69 beta=108.69 gamma=43.72
With the nearest neighbours (Å) after each atom.
Element x y z (fractional)
Pm (0.0000, 0.0000, 0.0000)  4 Pd 3.07, 8 Cu 3.11-3.18
Pm (0.3306, 0.3306, 0.3368)  8 Cu 3.08-3.20, 4 Pd 3.08-3.23
Pm (0.6694, 0.6694, 0.6632)  8 Cu 3.08-3.20, 4 Pd 3.08-3.23
Cu (0.0481, 0.0481, 0.3904)  1 Cu 2.42, 2 Pd 2.55
Cu (0.2751, 0.2751, 0.9496)  2 Cu 2.44, 1 Pd 2.57
Cu (0.7249, 0.7249, 0.0504)  2 Cu 2.44, 1 Pd 2.57
Cu (0.9519, 0.9519, 0.6096)  1 Cu 2.42, 2 Pd 2.55
Pd (0.3889, 0.3889, 0.7283)  3 Cu 2.55-2.57
Pd (0.6111, 0.6111, 0.2717)  3 Cu 2.55-2.57

***

The following is a DFT calculation (PBE-GGA) of a relaxed Pm3Cu2Pd4 crystal.

Unit cell a=5.7213 b=5.7213 c=8.5557 alpha=109.83 beta=109.83 gamma=45.86
With the nearest neighbours (Å) after each atom.
Element x y z (fractional)
Pm (0.0000, 0.0000, 0.0000)  8 Pd 3.08-3.26
Pm (0.3568, 0.3568, 0.3109)  8 Pd 3.04-3.27, 4 Cu 3.09-3.14
Pm (0.6432, 0.6432, 0.6891)  8 Pd 3.04-3.27, 4 Cu 3.09-3.14
Cu (0.3398, 0.3398, 0.6688)  4 Pd 2.53-2.80
Cu (0.6602, 0.6602, 0.3312)  4 Pd 2.53-2.80
Pd (0.0835, 0.0835, 0.4067)  3 Cu 2.53-2.80, 1 Pd 2.78
Pd (0.2854, 0.2854, 0.9331)  1 Cu 2.53, 2 Pd 2.73
Pd (0.7146, 0.7146, 0.0669)  1 Cu 2.53, 2 Pd 2.73
Pd (0.9165, 0.9165, 0.5933)  3 Cu 2.53-2.80, 1 Pd 2.78

***

The following is a DFT calculation (PBE-GGA) of a relaxed Pm3CuPd3 crystal.

Unit cell a=3.8795 b=4.3115 c=19.2183 alpha=90.00 beta=90.00 gamma=90.00
With the nearest neighbours (Å) after each atom.
Element x y z (fractional)
Pm (0.0000, 0.0000, 0.0000)  7 Pd 2.95-3.26
Pm (0.0000, 0.0000, 0.3681)  2 Cu 2.98, 5 Pd 2.99-3.07
Pm (0.0000, 0.5000, 0.1820)  6 Pd 3.13-3.45, 4 Cu 3.18
Pm (0.5000, 0.0000, 0.6820)  6 Pd 3.13-3.45, 4 Cu 3.18
Pm (0.5000, 0.5000, 0.5000)  7 Pd 2.95-3.26
Pm (0.5000, 0.5000, 0.8681)  2 Cu 2.98, 5 Pd 2.99-3.07
Cu (0.0000, 0.5000, 0.7504)  3 Pd 2.50-2.65
Cu (0.5000, 0.0000, 0.2504)  3 Pd 2.50-2.65
Pd (0.0000, 0.0000, 0.5276)  2 Pd 2.80, 5 Pm 2.95-3.07
Pd (0.0000, 0.0000, 0.8306)  2 Cu 2.65
Pd (0.0000, 0.5000, 0.6203)  1 Cu 2.50, 2 Pd 2.80
Pd (0.5000, 0.0000, 0.1203)  1 Cu 2.50, 2 Pd 2.80
Pd (0.5000, 0.5000, 0.0276)  2 Pd 2.80, 5 Pm 2.95-3.07
Pd (0.5000, 0.5000, 0.3306)  2 Cu 2.65

Computed properties:
The value obtained for the energy above the most stable polymorph in this dataset is 0 meV/atom.

***

Here are the calculated ΔE_f numbers, same order: -0.263, -0.251, -0.319, -0.340, -0.219, -0.444, -0.618, -0.680 (eV per atom).